The following is a PBE calculation of a relaxed structure of Ca2AsPd2, from the Alexandria database.

abc: 5.608 5.608 5.608
angles: 133.90 119.84 78.98
Fractional positions:
Ca 0.196 0.196 0.000
Ca 0.804 0.804 0.000
As 0.500 0.000 0.500
Pd 0.244 0.500 0.744
Pd 0.756 0.500 0.256

Space-group type ... Immm, No. 71
Uncorrected energy ... -23.27 eV for the cell shown
Energy above the lowest structure with this stoichiometry ... 0 meV/atom
Formation energy from the elements ... -4.2 eV/f.u.


The following is a PBE calculation of a relaxed structure of Np2P4IrRh3, from the Alexandria database.

abc: 4.115 4.115 9.569
angles: 90.00 90.00 90.00
Fractional positions:
Np 0.000 0.500 0.242
Np 0.500 0.000 0.758
P 0.000 0.000 0.000
P 0.000 0.500 0.641
P 0.500 0.000 0.359
P 0.500 0.500 0.000
Ir 0.000 0.000 0.500
Rh 0.000 0.500 0.885
Rh 0.500 0.000 0.115
Rh 0.500 0.500 0.500

Space-group type ... P-4m2, No. 115
Uncorrected energy ... -85.89 eV for the cell shown
Formation energy from the elements ... -7.5 eV/f.u.


The following is a PBE calculation of a relaxed structure of K2FeAs, from the Alexandria database.

abc: 3.089 3.089 10.893
angles: 90.00 90.00 90.00
Fractional positions:
K 0.000 0.000 0.230
K 0.000 0.000 0.770
Fe 0.500 0.500 0.500
As 0.500 0.500 0.000

Space-group type ... P4/mmm, No. 123
Uncorrected energy ... -12.78 eV for the cell shown
Formation energy from the elements ... 2.5 eV/f.u.


The following is a PBE calculation of a relaxed structure of CsCaTl2Pd, from the Alexandria database.

abc: 5.578 5.578 5.509
angles: 90.00 90.00 90.00
Fractional positions:
Cs 0.000 0.000 0.000
Ca 0.500 0.500 0.000
Tl 0.000 0.500 0.500
Tl 0.500 0.000 0.500
Pd 0.500 0.500 0.500

Space-group type ... P4/mmm, No. 123
Uncorrected energy ... -13.59 eV for the cell shown
Formation energy from the elements ... -0.8 eV/f.u.


The following is a PBE calculation of a relaxed structure of MnTe2Pb, from the Alexandria database.

abc: 4.192 3.885 7.582
angles: 90.00 105.28 90.00
Fractional positions:
Mn 0.000 0.000 0.000
Te 0.336 0.500 0.229
Te 0.664 0.500 0.771
Pb 0.000 0.000 0.500

Space-group type ... P2/m, No. 10
Formation energy (no corrections) ... -0.13 eV/f.u.
Uncorrected energy ... -19.29 eV for the cell shown


The following is a PBE calculation of a relaxed structure of Sr2CrW, from the Alexandria database.

abc: 5.616 5.616 6.192
angles: 95.27 95.27 32.19
Fractional positions:
Sr 0.246 0.246 0.242
Sr 0.754 0.754 0.758
Cr 0.000 0.000 0.500
W 0.500 0.500 0.000

Space-group type ... C2/m, No. 12
Uncorrected energy ... -20.23 eV for the cell shown
Energy above the lowest structure with this stoichiometry ... 739 meV/atom
Formation energy from the elements ... 5.7 eV/f.u.


The following is a PBE calculation of a relaxed structure of Be3Ni6B, from the Alexandria database.

abc: 6.313 3.793 8.166
angles: 90.00 110.03 90.00
Fractional positions:
Be 0.025 0.250 0.376
Be 0.108 0.750 0.217
Be 0.275 0.250 0.977
Be 0.725 0.750 0.023
Be 0.892 0.250 0.783
Be 0.975 0.750 0.624
Ni 0.030 0.750 0.916
Ni 0.173 0.250 0.670
Ni 0.259 0.750 0.501
Ni 0.348 0.250 0.324
Ni 0.361 0.750 0.833
Ni 0.408 0.750 0.143
Ni 0.592 0.250 0.857
Ni 0.639 0.250 0.167
Ni 0.652 0.750 0.676
Ni 0.741 0.250 0.499
Ni 0.827 0.750 0.330
Ni 0.970 0.250 0.084
B 0.459 0.250 0.594
B 0.541 0.750 0.406

Space-group type ... P2_1/m, No. 11
Uncorrected energy ... -110.87 eV for the cell shown
Formation energy from the elements ... -2.9 eV/f.u.


The following is a PBE calculation of a relaxed structure of Nd3PtRh8, from the Alexandria database.

abc: 9.288 9.288 9.288
angles: 33.54 33.54 33.54
Fractional positions:
Nd 0.000 0.000 0.000
Nd 0.131 0.131 0.131
Nd 0.518 0.518 0.518
Pt 0.644 0.644 0.644
Rh 0.068 0.567 0.567
Rh 0.070 0.070 0.570
Rh 0.070 0.570 0.070
Rh 0.318 0.318 0.318
Rh 0.567 0.068 0.567
Rh 0.567 0.567 0.068
Rh 0.570 0.070 0.070
Rh 0.818 0.818 0.818

Space-group type ... R3m, No. 160
Uncorrected energy ... -84.70 eV for the cell shown
Formation energy from the elements ... -5.5 eV/f.u.